Below is a geometry-optimized Pm12Cd3Te5 structure, with properties calculated at the PBE-GGA level.

The structure belongs to space group Ia-3d (No. 230); the cell edges are 18.294, 18.294 and 18.294 Å and the angles 90.00°, 90.00° and 90.00°. The distinct sites, in fractional coordinates, are Pm at (0.015, 0.074, 0.652), Cd at (0.000, 0.250, 0.125), Te at (0.000, 0.000, 0.000) and Te at (0.000, 0.250, 0.375).

For the total magnetization, the calculation gives 2.28 μB per formula unit. The calculated total energy is -4.17 eV per atom. The calculation puts the volume at 6122 Å³/cell. The calculation puts the formation energy without anion corrections at -763 kJ/mol of formula units.